Compound: Ac6Ru2SI2
Source: Alexandria via LeMat-Bulk
Functional: PBE
Structure: optimized geometry

Magnetization ... 0.34 Bohr magnetons per cell
Uncorrected formation energy ... -0.824 eV per atom
Calculated density ... 7.12 g/cm3
Calculated total energy ... -59.5 eV/cell

Cell: 7.5856 7.5856 8.9584 Å, 98.24 98.24 119.21°
Atoms (fractional coordinates):
Ac (0.0907, 0.4384, 0.8133)
Ac (0.2101, 0.2101, 0.1831)
Ac (0.4384, 0.0907, 0.8133)
Ac (0.5616, 0.9093, 0.1867)
Ac (0.7899, 0.7899, 0.8169)
Ac (0.9093, 0.5616, 0.1867)
Ru (0.1703, 0.8297, 0.0000)
Ru (0.8297, 0.1703, 0.0000)
S (0.5000, 0.5000, 0.0000)
I (0.3343, 0.6657, 0.5000)
I (0.6657, 0.3343, 0.5000)